## ZrTeI2N (GGA-PBEsol)

Data for an optimized crystal structure of ZrTeI2N.

The space group is P4/mmm (No. 123) and the conventional cell measures 6.0439, 6.0439 and 3.8970 Å, with angles of 90.00, 90.00 and 90.00 degrees. The asymmetric unit holds Zr at (0.0000, 0.0000, 0.0000), Te at (0.5000, 0.5000, 0.5000), I at (0.0000, 0.5000, 0.5000) and N at (0.5000, 0.5000, 0.0000).

The calculation puts the uncorrected formation energy at 0.91 eV/atom. As for the magnetization: 0.45 μB per atom. The crystal system is tetragonal. For the energy above the most stable polymorph in this dataset, the calculation gives 0.3186 eV per atom.